(1)
A relaxed Rb2BaMoBr8 crystal. Source: the Alexandria database, functional PBE.

Calculated values
VASP energy (eV/atom): -3.633
Energy relative to the elements, uncorrected (kJ/mol of formula units): -1498
Symmetry: P-1 (2)

POSCAR file:
```
Rb2BaMoBr8
1.0
6.477 0.000 0.000
3.235 8.050 0.000
0.012 0.007 9.432
Rb Ba Mo Br
2 1 1 8
direct
0.004 0.001 0.241
0.996 0.999 0.759
0.500 0.500 0.500
0.500 0.500 0.000
0.008 0.257 0.502
0.090 0.670 0.002
0.442 0.309 0.804
0.445 0.308 0.196
0.555 0.692 0.804
0.558 0.691 0.196
0.910 0.330 0.998
0.992 0.743 0.498
```

***

(2)
A relaxed BaTl2MoBr8 crystal. Source: the Alexandria database, functional PBE.

Calculated values
VASP energy (eV/atom): -3.577
Energy relative to the elements, uncorrected (kJ/mol of formula units): -1163
Symmetry: P-1 (2)

POSCAR file:
```
BaTl2MoBr8
1.0
6.922 0.000 0.000
0.334 7.570 0.000
0.016 0.018 9.124
Ba Tl Mo Br
1 2 1 8
direct
0.000 0.000 0.000
0.500 0.499 0.263
0.500 0.501 0.737
0.000 0.000 0.500
0.118 0.215 0.299
0.120 0.214 0.700
0.323 0.838 0.499
0.383 0.747 0.000
0.617 0.253 0.000
0.677 0.162 0.501
0.880 0.786 0.300
0.882 0.785 0.701
```

***

(3)
A relaxed BaYMo2Br crystal. Source: the Alexandria database, functional PBE.

Calculated values
VASP energy (eV/atom): -5.231
Energy relative to the elements, uncorrected (kJ/mol of formula units): 537
Symmetry: P4/mmm (123)

POSCAR file:
```
BaYMo2Br
1.0
4.823 0.000 0.000
0.000 4.823 0.000
0.000 0.000 5.719
Ba Y Mo Br
1 1 2 1
direct
0.000 0.000 0.000
0.500 0.500 0.000
0.000 0.500 0.500
0.500 0.000 0.500
0.000 0.000 0.500
```

***

(4)
A relaxed Ba2ZrMoBr crystal. Source: the Alexandria database, functional PBE.

Calculated values
VASP energy (eV/atom): -4.244
Energy above the most stable polymorph in this dataset (eV/atom): 0.238
Energy relative to the elements, uncorrected (kJ/mol of formula units): 355
Symmetry: P4/mmm (123)

POSCAR file:
```
Ba2ZrMoBr
1.0
6.158 0.000 0.000
0.000 6.158 0.000
0.000 0.000 5.120
Ba Zr Mo Br
2 1 1 1
direct
0.000 0.500 0.000
0.500 0.000 0.000
0.000 0.000 0.500
0.500 0.500 0.500
0.000 0.000 0.000
```